Material: La2PrDyTm5
Method: DFT, PBE
State: relaxed

Unit cell a=9.9515 b=9.9515 c=9.9515 alpha=128.81 beta=128.81 gamma=75.32
Fractional positions:
1 La 0.1182 0.6182 0.7364
2 La 0.3818 0.1182 0.5000
3 La 0.6182 0.8818 0.5000
4 La 0.8818 0.3818 0.2636
5 Pr 0.2500 0.7500 0.5000
6 Pr 0.7500 0.2500 0.5000
7 Dy 0.2500 0.2500 0.0000
8 Dy 0.7500 0.7500 0.0000
9 Tm 0.0000 0.0000 0.0000
10 Tm 0.0724 0.1449 0.5000
11 Tm 0.1449 0.6449 0.0725
12 Tm 0.3551 0.4276 0.5000
13 Tm 0.4276 0.9276 0.0725
14 Tm 0.5000 0.5000 0.0000
15 Tm 0.5724 0.0724 0.9275
16 Tm 0.6449 0.5724 0.5000
17 Tm 0.8551 0.3551 0.9275
18 Tm 0.9276 0.8551 0.5000

Computed properties:
Total energy in eV per cell: -78.64
Space group: I4/mcm (140)
N(E_F) in states/eV per cell: 22.48
Energy relative to the elements in meV per atom: 252


Material: Tl10Te3I3
Method: DFT, PBE
State: relaxed

Unit cell a=9.9288 b=9.9288 c=7.1137 alpha=90.00 beta=90.00 gamma=120.00
Fractional positions:
1 Tl 0.0000 0.2426 0.0000
2 Tl 0.0000 0.6195 0.5000
3 Tl 0.2426 0.0000 0.0000
4 Tl 0.3333 0.6667 0.2421
5 Tl 0.3333 0.6667 0.7579
6 Tl 0.3805 0.3805 0.5000
7 Tl 0.6195 0.0000 0.5000
8 Tl 0.6667 0.3333 0.2421
9 Tl 0.6667 0.3333 0.7579
10 Tl 0.7574 0.7574 0.0000
11 Te 0.0000 0.5758 0.0000
12 Te 0.4242 0.4242 0.0000
13 Te 0.5758 0.0000 0.0000
14 I 0.0000 0.2655 0.5000
15 I 0.2655 0.0000 0.5000
16 I 0.7345 0.7345 0.5000

Computed properties:
Formation energy from raw total energies in eV per atom: -0.368
Total energy in eV per cell: -43.63
Space group: P-62m (189)
N(E_F) in states/eV per cell: 4.01